(1)
An optimized crystal structure of V3FeGe4, computed with GGA-PBE.

a = 4.9913 Å, b = 4.9961 Å, c = 9.3312 Å
α = 90.00°, β = 90.00°, γ = 90.00°
Closest atoms and distances in Å follow each position.
Sites, in units of the cell vectors:
V: 0.6276 0.3601 0.7440  5 Ge 2.46-2.59
V: 0.6276 0.3601 0.2560  5 Ge 2.46-2.59
V: 0.1276 0.6399 0.2440  5 Ge 2.46-2.59
V: 0.1048 0.1697 0.5000  6 Ge 2.47-2.69
V: 0.6048 0.8303 0.0000  6 Ge 2.47-2.69
V: 0.1276 0.6399 0.7560  5 Ge 2.46-2.59
Fe: 0.4269 0.6454 0.5000  6 Ge 2.46-2.73
Fe: 0.9269 0.3546 0.0000  6 Ge 2.46-2.73
Ge: 0.0977 0.1495 0.7746  4 V 2.46-2.59, 1 Fe 2.49, 1 Ge 2.62
Ge: 0.4342 0.3409 0.0000  2 Fe 2.46-2.53, 4 V 2.58-2.69
Ge: 0.0977 0.1495 0.2254  4 V 2.46-2.59, 1 Fe 2.49, 1 Ge 2.62
Ge: 0.0988 0.8365 0.0000  4 V 2.47-2.53, 2 Fe 2.56-2.73, 2 Ge 2.62
Ge: 0.5977 0.8505 0.2746  4 V 2.46-2.59, 1 Fe 2.49, 1 Ge 2.62
Ge: 0.5988 0.1635 0.5000  4 V 2.47-2.53, 2 Fe 2.56-2.73, 2 Ge 2.62
Ge: 0.9342 0.6591 0.5000  2 Fe 2.46-2.53, 4 V 2.58-2.69
Ge: 0.5977 0.8505 0.7254  4 V 2.46-2.59, 1 Fe 2.49, 1 Ge 2.62

Computed properties:
N(E_F) ... 15.78 states/eV per cell
SG ... Pmn2_1
Energy of formation from the pure elements ... 0.034 eV per atom

---

(2)
An optimized crystal structure of Tb4Sb3P, computed with GGA-PBE.

a = 4.2925 Å, b = 7.4794 Å, c = 7.4794 Å
α = 109.23°, β = 90.00°, γ = 90.00°
Closest atoms and distances in Å follow each position.
Sites, in units of the cell vectors:
Tb: 0.5000 0.2410 0.7590  1 P 2.94, 5 Sb 3.05-3.16
Tb: 0.5000 0.7590 0.2410  1 P 2.94, 5 Sb 3.05-3.16
Tb: 0.0000 0.2333 0.2333  2 P 2.95, 4 Sb 3.05-3.15
Tb: 0.0000 0.7667 0.7667  2 P 2.95, 4 Sb 3.05-3.15
Sb: 0.0000 0.5000 0.0000  6 Tb 3.05
Sb: 0.0000 0.0000 0.5000  6 Tb 3.05
Sb: 0.5000 0.5000 0.5000  6 Tb 3.15-3.16
P: 0.5000 0.0000 0.0000  6 Tb 2.94-2.95

Computed properties:
Uncorrected formation energy ... -1.222 eV per atom
N(E_F) ... 1.09 states/eV per cell
SG ... Cmmm

---

(3)
An optimized crystal structure of As2WCl, computed with GGA-PBE.

a = 9.5125 Å, b = 9.5125 Å, c = 9.5125 Å
α = 19.06°, β = 19.06°, γ = 19.06°
Closest atoms and distances in Å follow each position.
Sites, in units of the cell vectors:
As: 0.0118 0.0118 0.0118  3 W 2.56, 3 As 2.75
As: 0.2713 0.2713 0.2713  3 As 2.75
W: 0.7429 0.7429 0.7429  3 Cl 2.56, 3 As 2.56
Cl: 0.4740 0.4740 0.4740  3 W 2.56

Computed properties:
Uncorrected formation energy ... 0.178 eV per atom
N(E_F) ... 1.84 states/eV per cell
SG ... R3m